VASP calculation (PBE) on crystalline Dy2TeRh at its relaxed geometry.

POSCAR file:
```
Dy2TeRh
1.0
-3.3932 1.1109 -2.0647
-3.6626 -0.0057 1.8966
-1.3227 7.2447 1.9523
Dy Rh Te
2 1 1
direct
0.0693 0.0693 0.7921
0.2645 0.2645 0.2064
0.6651 0.6651 0.0046
0.5010 0.5010 0.4969
```

The calculated volume is 26.655 Å³ per atom. For the energy above the lowest structure with this stoichiometry, the calculation gives 3 meV/atom. As for the size of the total moment: 0.00 μB/cell. As for the space group: No. 160. For the raw formation energy, the calculation gives -1.025 eV per atom.

=====

VASP calculation (PBE) on crystalline Dy5ThRh6 at its relaxed geometry.

POSCAR file:
```
Dy5ThRh6
1.0
-3.8546 2.3343 1.7690
2.7294 -0.4050 6.4807
1.4335 7.5192 -0.1339
Th Rh Dy
1 6 5
direct
0.0000 0.0000 0.0000
0.1639 0.2501 0.6717
0.8362 0.2501 0.3283
0.4999 0.2465 0.0000
0.8361 0.7499 0.3283
0.1638 0.7499 0.6717
0.5001 0.7535 0.0000
0.6675 0.5000 0.6648
0.3293 0.0000 0.3415
0.0000 0.5000 0.0000
0.6707 0.0000 0.6585
0.3325 0.5000 0.3352
```

The calculated volume is 20.625 Å³ per atom. As for the size of the total moment: 0.00 μB/cell. As for the space group: No. 10. The calculation puts the energy of formation from the pure elements at -0.8647 eV per atom.

=====

VASP calculation (PBE) on crystalline DyTh2Rh at its relaxed geometry.

POSCAR file:
```
DyTh2Rh
1.0
-1.6859 -5.1572 3.0775
-0.8543 -3.4170 -6.1940
9.6333 -2.9658 0.3074
Rh Th Dy
4 8 4
direct
0.8873 0.6134 0.7500
0.6127 0.1134 0.7500
0.3873 0.8866 0.2500
0.1127 0.3866 0.2500
0.3446 0.1795 0.4407
0.8446 0.3205 0.5593
0.8446 0.3205 0.9407
0.6554 0.8205 0.5593
0.3446 0.1795 0.0593
0.1554 0.6795 0.4407
0.1554 0.6795 0.0593
0.6554 0.8205 0.9407
0.3457 0.4599 0.7500
0.6543 0.5401 0.2500
0.8457 0.0401 0.2500
0.1543 0.9599 0.7500
```

The calculated volume is 28.013 Å³ per atom. For the energy above the lowest structure with this stoichiometry, the calculation gives 3 meV/atom. As for the size of the total moment: 0.00 μB/cell. As for the space group: No. 62. The calculation puts the energy of formation from the pure elements at -0.4632 eV per atom.

=====

VASP calculation (PBE) on crystalline DyTh2Rh at its relaxed geometry.

POSCAR file:
```
DyTh2Rh
1.0
-3.0340 1.1384 -2.0349
-2.3797 -2.5937 -1.5006
-6.9314 -0.2727 6.5846
Th Dy Rh
2 1 1
direct
0.2687 0.2687 0.1938
0.7313 0.7313 0.8062
0.5000 0.5000 0.5000
0.0000 0.0000 0.0000
```

The calculated volume is 29.499 Å³ per atom. For the energy above the lowest structure with this stoichiometry, the calculation gives 136 meV/atom. As for the size of the total moment: 0.00 μB/cell. As for the space group: No. 166. The calculation puts the energy of formation from the pure elements at -0.3303 eV per atom.

=====

VASP calculation (PBE) on crystalline DyTh2Rh9 at its relaxed geometry.

POSCAR file:
```
DyTh2Rh9
1.0
-0.0928 3.8595 -3.6114
1.0533 -1.0926 -5.0639
-8.3498 -0.6551 -4.3548
Rh Th Dy
9 2 1
direct
0.0803 0.5826 0.7544
0.5000 0.5000 0.5000
0.9197 0.4174 0.2456
0.5826 0.0803 0.7544
0.3329 0.3329 0.0013
0.5826 0.5826 0.7544
0.4174 0.9197 0.2456
0.4174 0.4174 0.2456
0.6671 0.6671 0.9987
0.1372 0.1372 0.5884
0.8628 0.8628 0.4116
0.0000 0.0000 0.0000
```

The calculated volume is 18.016 Å³ per atom. As for the size of the total moment: 0.00 μB/cell. As for the space group: No. 166. The calculation puts the energy of formation from the pure elements at -0.6049 eV per atom.

=====

VASP calculation (PBE) on crystalline DyTh2Rh at its relaxed geometry.

POSCAR file:
```
DyTh2Rh
1.0
3.8690 0.0000 0.0000
1.9345 3.3506 0.0000
1.9345 1.1169 9.1983
Th Rh Dy
2 1 1
direct
0.0646 0.0646 0.8062
0.2695 0.2695 0.1916
0.6670 0.6670 0.9990
0.4989 0.4989 0.5032
```

The calculated volume is 29.810 Å³ per atom. For the energy above the lowest structure with this stoichiometry, the calculation gives 159 meV/atom. As for the size of the total moment: 0.00 μB/cell. As for the space group: No. 160. The calculation puts the energy of formation from the pure elements at -0.3074 eV per atom.

=====

VASP calculation (PBE) on crystalline DyTh2Rh at its relaxed geometry.

POSCAR file:
```
DyTh2Rh
1.0
3.6743 0.0000 0.0000
0.0000 3.6743 0.0000
0.0000 0.0000 8.1193
Th Dy Rh
2 1 1
direct
0.0000 0.0000 0.7978
0.0000 0.0000 0.2022
0.5000 0.5000 0.5000
0.5000 0.5000 0.0000
```

The calculated volume is 27.404 Å³ per atom. For the energy above the lowest structure with this stoichiometry, the calculation gives 160 meV/atom. As for the size of the total moment: 0.00 μB/cell. As for the space group: No. 123. The calculation puts the energy of formation from the pure elements at -0.3062 eV per atom.

=====

VASP calculation (PBE) on crystalline Dy3ThRh4 at its relaxed geometry.

POSCAR file:
```
Dy3ThRh4
1.0
4.7143 0.0000 1.3916
2.1518 4.1946 1.3916
0.0622 0.0380 8.4705
Rh Dy Th
4 3 1
direct
0.8779 0.8779 0.3663
0.1221 0.1221 0.6337
0.6267 0.6267 0.1200
0.3733 0.3733 0.8800
0.7540 0.7540 0.7381
0.5000 0.5000 0.5000
0.2460 0.2460 0.2619
0.0000 0.0000 0.0000
```

The calculated volume is 20.876 Å³ per atom. As for the size of the total moment: 0.00 μB/cell. As for the space group: No. 166. The calculation puts the energy of formation from the pure elements at -0.8571 eV per atom.

=====

VASP calculation (PBE) on crystalline Dy2ThRh3 at its relaxed geometry.

POSCAR file:
```
Dy2ThRh3
1.0
4.9244 0.0000 0.0000
-2.4622 4.2647 0.0000
0.0000 0.0000 6.0241
Rh Dy Th
3 2 1
direct
0.6667 0.3333 0.8479
0.3333 0.6667 0.1521
0.0000 0.0000 0.5000
0.3333 0.6667 0.6553
0.6667 0.3333 0.3447
0.0000 0.0000 0.0000
```

The calculated volume is 21.085 Å³ per atom. For the energy above the lowest structure with this stoichiometry, the calculation gives 0 meV/atom. As for the size of the total moment: 0.00 μB/cell. As for the space group: No. 164. The calculation puts the energy of formation from the pure elements at -0.8533 eV per atom.

=====

VASP calculation (PBE) on crystalline DyThRh2 at its relaxed geometry.

POSCAR file:
```
DyThRh2
1.0
5.6434 0.0000 0.0000
0.0000 5.6399 -0.4962
0.0000 -1.7752 11.3283
Rh Dy Th
8 4 4
direct
0.1261 0.9269 0.5967
0.6284 0.4208 0.5910
0.3716 0.5792 0.4090
0.1261 0.5731 0.9033
0.6284 0.0792 0.9090
0.3716 0.9208 0.0910
0.8739 0.4269 0.0967
0.8739 0.0731 0.4033
0.6261 0.9478 0.6426
0.3739 0.4478 0.1426
0.6261 0.5522 0.8574
0.3739 0.0522 0.3574
0.8708 0.5571 0.3623
0.1292 0.0571 0.8623
0.8708 0.9429 0.1377
0.1292 0.4429 0.6377
```

The calculated volume is 22.224 Å³ per atom. For the energy above the lowest structure with this stoichiometry, the calculation gives 18 meV/atom. As for the size of the total moment: 0.00 μB/cell. As for the space group: No. 13. The calculation puts the energy of formation from the pure elements at -0.9024 eV per atom.

=====

VASP calculation (PBE) on crystalline DyThRh2 at its relaxed geometry.

POSCAR file:
```
DyThRh2
1.0
3.6166 0.0000 -1.3197
0.0000 4.2537 0.0000
0.0373 0.0000 5.7351
Th Dy Rh
1 1 2
direct
0.4425 0.5000 0.4240
0.7200 0.0000 0.9793
0.1770 0.5000 0.8931
0.9914 0.0000 0.5216
```

The calculated volume is 22.110 Å³ per atom. For the energy above the lowest structure with this stoichiometry, the calculation gives 0 meV/atom. As for the size of the total moment: 0.00 μB/cell. As for the space group: No. 38. The calculation puts the energy of formation from the pure elements at -0.9201 eV per atom.

=====

VASP calculation (PBE) on crystalline Dy3Th2Rh2 at its relaxed geometry.

POSCAR file:
```
Dy3Th2Rh2
1.0
-2.7498 -2.3458 -0.9313
1.2925 -5.5699 2.7336
-4.6034 -0.5413 7.4761
Dy Th Rh
3 2 2
direct
0.3851 0.8005 0.4292
0.5000 0.0000 0.0000
0.6149 0.1995 0.5708
0.8290 0.5225 0.8196
0.1710 0.4775 0.1804
0.8218 0.1168 0.2397
0.1782 0.8832 0.7603
```

The calculated volume is 26.736 Å³ per atom. As for the size of the total moment: 0.00 μB/cell. As for the space group: No. 12. The calculation puts the energy of formation from the pure elements at -0.5572 eV per atom.